Record 1
Density functional theory data (PBE) for CaY3Tc after structural relaxation.

Cell and atoms, written as extended XYZ:
```
5
Lattice="5.263 0.000 0.000 0.000 5.263 0.000 0.000 0.000 5.263" Properties=species:S:1:pos:R:3 pbc="T T T"
Ca 0.000 0.000 0.000
Y 0.000 0.000 2.631
Y 0.000 2.631 0.000
Y 2.631 0.000 0.000
Tc 2.631 2.631 2.631
```

Summary:
Energy ... -22.94 eV/f.u.
Relative energy among the computed polymorphs ... 821 kJ/mol of formula units
E_form ... 8.82 eV/f.u.

Record 2
Density functional theory data (PBE) for TaCdH after structural relaxation.

Cell and atoms, written as extended XYZ:
```
12
Lattice="6.598 0.000 0.000 0.000 5.287 0.000 0.000 0.000 5.145" Properties=species:S:1:pos:R:3 pbc="T T T"
Ta 0.646 1.322 5.144
Ta 2.653 3.965 2.572
Ta 3.944 1.322 2.573
Ta 5.952 3.965 0.000
Cd 0.000 0.000 2.572
Cd 0.000 2.643 2.572
Cd 3.299 0.000 0.000
Cd 3.299 2.643 0.000
H 1.192 3.965 0.005
H 2.107 1.322 2.578
H 4.491 3.965 2.567
H 5.405 1.322 5.139
```

Summary:
Energy ... -14.07 eV/f.u.
Relative energy among the computed polymorphs ... 185 kJ/mol of formula units

Record 3
Density functional theory data (PBE) for LiSm2Zn after structural relaxation.

Cell and atoms, written as extended XYZ:
```
12
Lattice="3.473 0.000 0.000 -1.737 3.008 0.000 0.000 0.000 33.816" Properties=species:S:1:pos:R:3 pbc="T T T"
Li 0.000 0.000 0.000
Li 0.000 2.005 22.544
Li 1.737 1.003 11.272
Sm 0.000 0.000 3.350
Sm 0.000 0.000 30.466
Sm 0.000 2.005 19.194
Sm 0.000 2.005 25.894
Sm 1.737 1.003 7.922
Sm 1.737 1.003 14.622
Zn 0.000 0.000 16.908
Zn 0.000 2.005 5.636
Zn 1.737 1.003 28.180
```

Summary:
Energy ... -12.16 eV/f.u.
Relative energy among the computed polymorphs ... 91 kJ/mol of formula units
E_form ... 0.47 eV/f.u.

Record 4
Density functional theory data (PBE) for CsB2AuC after structural relaxation.

Cell and atoms, written as extended XYZ:
```
5
Lattice="3.930 0.000 0.000 0.000 3.930 0.000 0.000 0.000 6.592" Properties=species:S:1:pos:R:3 pbc="T T T"
Cs 0.000 0.000 0.000
B 0.000 1.965 3.296
B 1.965 0.000 3.296
Au 1.965 1.965 0.000
C 0.000 0.000 3.296
```

Summary:
Energy ... -15.62 eV/f.u.
E_form ... 11.09 eV/f.u.

Record 5
Density functional theory data (PBE) for Fe2CuHg after structural relaxation.

Cell and atoms, written as extended XYZ:
```
4
Lattice="2.771 0.000 0.000 0.000 2.771 0.000 0.000 0.000 7.497" Properties=species:S:1:pos:R:3 pbc="T T T"
Fe 0.000 0.000 1.629
Fe 0.000 0.000 5.868
Cu 1.385 1.385 0.000
Hg 1.385 1.385 3.748
```

Summary:
Energy ... -19.85 eV/f.u.
Relative energy among the computed polymorphs ... 41 kJ/mol of formula units
E_form ... 1.47 eV/f.u.

Record 6
Density functional theory data (PBE) for Pm3Zn4Sn after structural relaxation.

Cell and atoms, written as extended XYZ:
```
16
Lattice="3.785 0.000 0.000 0.000 6.813 0.000 0.000 0.000 15.597" Properties=species:S:1:pos:R:3 pbc="T T T"
Pm 0.000 0.000 0.000
Pm 0.000 3.406 3.065
Pm 0.000 3.406 12.532
Pm 1.893 0.000 4.734
Pm 1.893 0.000 10.864
Pm 1.893 3.406 7.799
Zn 0.000 2.116 5.776
Zn 0.000 2.116 9.821
Zn 0.000 4.696 5.776
Zn 0.000 4.696 9.821
Zn 1.893 1.290 2.022
Zn 1.893 1.290 13.575
Zn 1.893 5.522 2.022
Zn 1.893 5.522 13.575
Sn 0.000 0.000 7.799
Sn 1.893 3.406 0.000
```

Summary:
Energy ... -25.00 eV/f.u.
E_form ... -1.65 eV/f.u.

What is the energy in the first record?
-22.94 eV/f.u.

Look up the energy of the sixth one.
-25.00 eV/f.u.

The highest energy belongs to which entry?
LiSm2Zn

Look up the energy of the third one.
-12.16 eV/f.u.